Record 1
DFT (PBE) results for crystalline BaMn2Os at its relaxed geometry.

a b c (Å): 4.2206 3.6790 6.1658
angles (deg): 90.04 90.00 90.00
Site moments in Bohr magnetons follow the coordinates.
Fractional positions:
1 Ba 0.5000 0.6245 0.7940  0.06
2 Os 0.0000 0.6252 0.3011  -0.23
3 Mn 0.0000 0.1249 0.1016  0.70
4 Mn 0.5000 0.1254 0.3032  3.46

Computed properties:
The calculation puts the calculated formation energy at 751 meV per atom. The calculation puts the offset from the most stable computed form at 331.2 meV/atom. The calculated volume comes out at 23.9 Å³/atom.



Record 2
DFT (PBE) results for crystalline YSbTe2Br at its relaxed geometry.

a b c (Å): 5.7477 5.7477 6.0164
angles (deg): 90.00 90.00 90.00
Site moments in Bohr magnetons follow the coordinates.
Fractional positions:
1 Te 0.0000 0.5000 0.0000  0.10
2 Te 0.5000 0.0000 0.0000  0.10
3 Y 0.0000 0.0000 0.0000  -0.01
4 Br 0.5000 0.5000 0.5000  0.03
5 Sb 0.0000 0.0000 0.5000  -0.01

Computed properties:
The calculation puts the offset from the most stable computed form at 0.0 meV/atom. The calculated volume comes out at 39.8 Å³/atom. For the uncorrected formation energy, the calculation gives -0.0210 eV/atom.



Record 3
DFT (PBE) results for crystalline PaZnTcMo at its relaxed geometry.

a b c (Å): 4.5984 4.5984 4.5984
angles (deg): 60.00 60.00 60.00
Fractional positions:
1 Pa 0.5000 0.5000 0.5000
2 Zn 0.0000 0.0000 0.0000
3 Mo 0.2500 0.2500 0.2500
4 Tc 0.7500 0.7500 0.7500

Computed properties:
The calculation puts the calculated formation energy at 38 meV per atom. The calculated volume comes out at 17.2 Å³/atom.